[1]
Compound: ZrW2C
Source: Alexandria via LeMat-Bulk
Functional: PBE-GGA
Structure: relaxed

Cell: 4.2157 3.2163 4.5983 Å, 90.00 102.26 90.00°
Space group P2/m (No. 10)
Asymmetric unit:
Zr: 0.0000 0.0000 0.0000 (multiplicity 1)
W: 0.0000 0.5000 0.5000 (multiplicity 1)
W: 0.5000 0.0000 0.5000 (multiplicity 1)
C: 0.5000 0.5000 0.0000 (multiplicity 1)

## Properties
calculated total energy	-39.9	eV for the cell shown
total moment	0.000	μB/atom
D(E_F)	2.2	states/eV/cell
ΔH_f (0 K)	0.95	eV/atom

---

[2]
Compound: ZrWC3
Source: Alexandria via LeMat-Bulk
Functional: PBE-GGA
Structure: relaxed

Cell: 4.0251 4.0251 4.0251 Å, 90.00 90.00 90.00°
Space group Pm-3m (No. 221)
Asymmetric unit:
Zr: 0.0000 0.0000 0.0000 (multiplicity 1)
W: 0.5000 0.5000 0.5000 (multiplicity 1)
C: 0.0000 0.5000 0.5000 (multiplicity 3)

## Properties
calculated total energy	-43.8	eV for the cell shown
total moment	0.000	μB/atom
D(E_F)	3.1	states/eV/cell
ΔH_f (0 K)	1.08	eV/atom

---

[3]
Compound: ZrW2C
Source: Alexandria via LeMat-Bulk
Functional: PBE-GGA
Structure: relaxed

Cell: 3.3202 3.8162 4.9902 Å, 90.00 90.00 90.00°
Space group Pmmm (No. 47)
Asymmetric unit:
Zr: 0.0000 0.0000 0.0000 (multiplicity 1)
W: 0.0000 0.5000 0.5000 (multiplicity 1)
W: 0.5000 0.0000 0.5000 (multiplicity 1)
C: 0.5000 0.5000 0.0000 (multiplicity 1)

## Properties
calculated total energy	-40.1	eV for the cell shown
total moment	0.000	μB/atom
D(E_F)	2.6	states/eV/cell
ΔH_f (0 K)	0.91	eV/atom

---

[4]
Compound: ZrWC
Source: Alexandria via LeMat-Bulk
Functional: PBE-GGA
Structure: relaxed

Cell: 3.1518 3.1518 5.0895 Å, 90.00 90.00 120.00°
Space group P3m1 (No. 156)
Asymmetric unit:
Zr: 0.0000 0.0000 0.0000 (multiplicity 1)
W: 0.6667 0.3333 0.5016 (multiplicity 1)
C: 0.3333 0.6667 0.2751 (multiplicity 1)

## Properties
calculated total energy	-31.7	eV for the cell shown
total moment	0.000	μB/atom
D(E_F)	1.6	states/eV/cell
ΔH_f (0 K)	-0.31	eV/atom

---

[5]
Compound: ZrW2C
Source: Alexandria via LeMat-Bulk
Functional: PBE-GGA
Structure: relaxed

Cell: 3.1157 3.4515 11.0366 Å, 90.00 90.00 90.00°
Space group Amm2 (No. 38)
Asymmetric unit:
Zr: 0.0000 0.0000 0.0000 (multiplicity 2)
W: 0.0000 0.0000 0.2915 (multiplicity 2)
W: 0.5000 0.0000 0.6659 (multiplicity 2)
C: 0.5000 0.0000 0.4552 (multiplicity 2)

## Properties
calculated total energy	-86.8	eV for the cell shown
total moment	0.000	μB/atom
D(E_F)	4.0	states/eV/cell
ΔH_f (0 K)	0.08	eV/atom

---

[6]
Compound: ZrW2C
Source: Alexandria via LeMat-Bulk
Functional: PBE-GGA
Structure: relaxed

Cell: 3.5480 3.5480 10.0770 Å, 90.00 90.00 90.00°
Space group I4/mmm (No. 139)
Asymmetric unit:
Zr: 0.0000 0.0000 0.0000 (multiplicity 2)
W: 0.0000 0.5000 0.2500 (multiplicity 4)
C: 0.0000 0.0000 0.5000 (multiplicity 2)

## Properties
calculated total energy	-80.1	eV for the cell shown
total moment	0.000	μB/atom
D(E_F)	5.2	states/eV/cell
ΔH_f (0 K)	0.90	eV/atom

---

[7]
Compound: ZrWC2
Source: Alexandria via LeMat-Bulk
Functional: PBE-GGA
Structure: relaxed

Cell: 3.0526 5.6810 6.2740 Å, 90.00 90.00 90.00°
Space group Immm (No. 71)
Asymmetric unit:
Zr: 0.0000 0.0000 0.0000 (multiplicity 2)
W: 0.0000 0.0000 0.5000 (multiplicity 2)
C: 0.0000 0.5000 0.2281 (multiplicity 4)

## Properties
calculated total energy	-77.3	eV for the cell shown
total moment	0.000	μB/atom
D(E_F)	2.6	states/eV/cell
ΔH_f (0 K)	0.33	eV/atom

---

[8]
Compound: ZrW2C
Source: Alexandria via LeMat-Bulk
Functional: PBE-GGA
Structure: relaxed

Cell: 7.2157 7.2157 4.7643 Å, 90.00 90.00 90.00°
Space group I-42d (No. 122)
Asymmetric unit:
Zr: 0.0000 0.0000 0.0000 (multiplicity 4)
W: 0.1404 0.7500 0.6250 (multiplicity 8)
C: 0.0000 0.0000 0.5000 (multiplicity 4)

## Properties
calculated total energy	-171.5	eV for the cell shown
total moment	0.000	μB/atom
D(E_F)	5.1	states/eV/cell
ΔH_f (0 K)	0.20	eV/atom